Pd8W: relaxed, GGA-PBE.

Output
energy of formation from the pure elements = -2.69 kcal/mol of atoms
energy = -55.55 eV/cell
N(E_F) = 7.10 states/eV/f.u.

a = 3.9365 Å, b = 6.2326 Å, c = 6.2326 Å
α = 84.28°, β = 71.59°, γ = 71.59°
Positions (direct):
Pd: 0.3385 0.0000 0.3230
Pd: 0.6615 0.0000 0.6770
Pd: 0.6721 0.3279 0.3279
Pd: 0.3385 0.3230 0.0000
Pd: 0.0000 0.3279 0.6721
Pd: 0.6615 0.6770 0.0000
Pd: 0.3279 0.6721 0.6721
Pd: 0.0000 0.6721 0.3279
W: 0.0000 0.0000 0.0000



ScSbN3: relaxed, GGA-PBE.

Output
energy = -30.90 eV/cell
N(E_F) = 2.54 states/eV/f.u.

a = 4.1315 Å, b = 4.1315 Å, c = 4.1315 Å
α = 90.00°, β = 90.00°, γ = 90.00°
Each line ends with the local moment (μB).
Positions (direct):
Sc: 0.0000 0.0000 0.0000  0.03
Sb: 0.5000 0.5000 0.5000  -0.09
N: 0.0000 0.5000 0.0000  0.75
N: 0.0000 0.0000 0.5000  0.85
N: 0.5000 0.0000 0.0000  0.55



DyGa7Ag5: relaxed, GGA-PBE.

Output
energy of formation from the pure elements = -3.15 kcal/mol of atoms
energy = -41.82 eV/cell
N(E_F) = 3.32 states/eV/f.u.

a = 5.6510 Å, b = 7.1231 Å, c = 7.1231 Å
α = 84.22°, β = 66.63°, γ = 66.63°
Positions (direct):
Dy: 0.9982 0.0018 0.0018
Ga: 0.6398 0.3602 0.3602
Ga: 0.3498 0.6502 0.6502
Ga: 0.9972 0.3497 0.6559
Ga: 0.9972 0.6559 0.3497
Ga: 0.2677 0.2323 0.2323
Ga: 0.5042 0.8163 0.1752
Ga: 0.5042 0.1752 0.8163
Ag: 0.5012 0.0055 0.4913
Ag: 0.0020 0.0055 0.4913
Ag: 0.5012 0.4913 0.0055
Ag: 0.0020 0.4913 0.0055
Ag: 0.7353 0.7647 0.7647



Ge3Rh: relaxed, GGA-PBE.

Output
energy of formation from the pure elements = -3.60 kcal/mol of atoms
energy = -174.62 eV/cell
N(E_F) = 1.52 states/eV/f.u.

a = 4.6670 Å, b = 10.7222 Å, c = 10.9835 Å
α = 93.81°, β = 90.00°, γ = 90.00°
Positions (direct):
Ge: 0.9764 0.2618 0.8191
Ge: 0.9764 0.7382 0.1809
Ge: 0.4780 0.6818 0.7619
Ge: 0.4780 0.3182 0.2381
Ge: 0.5236 0.2382 0.6809
Ge: 0.5236 0.7618 0.3191
Ge: 0.0220 0.8182 0.7381
Ge: 0.0220 0.1818 0.2619
Ge: 0.4780 0.3843 0.9484
Ge: 0.4780 0.6157 0.0516
Ge: 0.0089 0.5798 0.9104
Ge: 0.0089 0.4202 0.0896
Ge: 0.0220 0.1157 0.5516
Ge: 0.0220 0.8843 0.4484
Ge: 0.4911 0.9202 0.5896
Ge: 0.4911 0.0798 0.4104
Ge: 0.7167 0.0075 0.8553
Ge: 0.7167 0.9925 0.1447
Ge: 0.2466 0.6239 0.4891
Ge: 0.2466 0.3761 0.5109
Ge: 0.7833 0.4925 0.6447
Ge: 0.7833 0.5075 0.3553
Ge: 0.2534 0.8761 0.0109
Ge: 0.2534 0.1239 0.9891
Rh: 0.7525 0.7855 0.9502
Rh: 0.7525 0.2145 0.0498
Rh: 0.2729 0.5518 0.2501
Rh: 0.2729 0.4482 0.7499
Rh: 0.7475 0.7145 0.5498
Rh: 0.7475 0.2855 0.4502
Rh: 0.2271 0.9482 0.2499
Rh: 0.2271 0.0518 0.7501



K2PuF4: relaxed, GGA-PBE.

Output
energy = -43.70 eV/cell
N(E_F) = 8.42 states/eV/f.u.

a = 4.7668 Å, b = 4.7668 Å, c = 7.9183 Å
α = 72.48°, β = 72.48°, γ = 90.00°
Each line ends with the local moment (μB).
Positions (direct):
K: 0.6579 0.6579 0.6841  0.00
K: 0.3421 0.3421 0.3159  0.00
F: 0.8358 0.8358 0.3285  -0.01
F: 0.1642 0.1642 0.6715  -0.01
F: 0.0000 0.5000 0.0000  -0.01
F: 0.5000 0.0000 0.0000  -0.01
Pu: 0.0000 0.0000 0.0000  5.48



Nb3SbRh: relaxed, GGA-PBE.

Output
energy = -37.73 eV/cell
N(E_F) = 6.61 states/eV/f.u.

a = 4.8427 Å, b = 4.8427 Å, c = 4.8427 Å
α = 90.00°, β = 90.00°, γ = 90.00°
Positions (direct):
Sb: 0.5000 0.5000 0.5000
Nb: 0.0000 0.5000 0.0000
Nb: 0.0000 0.0000 0.5000
Nb: 0.5000 0.0000 0.0000
Rh: 0.0000 0.0000 0.0000



Pu2Ni2Sn: relaxed, GGA-PBE.

Output
energy of formation from the pure elements = -6.77 kcal/mol of atoms
energy = -91.39 eV/cell
N(E_F) = 19.88 states/eV/f.u.

a = 7.1562 Å, b = 7.1562 Å, c = 3.8775 Å
α = 90.00°, β = 90.00°, γ = 90.00°
Each line ends with the local moment (μB).
Positions (direct):
Ni: 0.1233 0.6233 0.0000  -0.24
Ni: 0.6233 0.8767 0.0000  -0.24
Ni: 0.3767 0.1233 0.0000  -0.24
Ni: 0.8767 0.3767 0.0000  -0.24
Sn: 0.0000 0.0000 0.0000  -0.06
Sn: 0.5000 0.5000 0.0000  -0.06
Pu: 0.1752 0.3248 0.5000  5.11
Pu: 0.6752 0.1752 0.5000  5.11
Pu: 0.8248 0.6752 0.5000  5.11
Pu: 0.3248 0.8248 0.5000  5.11



Pu6GeSe12: relaxed, GGA-PBE.

Output
energy = -154.96 eV/cell
N(E_F) = 48.88 states/eV/f.u.

a = 8.1585 Å, b = 8.1585 Å, c = 8.1585 Å
α = 99.77°, β = 99.77°, γ = 99.77°
Each line ends with the local moment (μB).
Positions (direct):
Pu: 0.6948 0.8674 0.3755  4.93
Pu: 0.6245 0.3052 0.1326  4.93
Pu: 0.1326 0.6245 0.3052  4.93
Pu: 0.3052 0.1326 0.6245  4.93
Pu: 0.3755 0.6948 0.8674  4.93
Pu: 0.8674 0.3755 0.6948  4.93
Ge: 0.0000 0.0000 0.0000  0.03
Se: 0.8216 0.5722 0.4244  -0.19
Se: 0.4244 0.8216 0.5722  -0.19
Se: 0.5722 0.4244 0.8216  -0.19
Se: 0.1784 0.4278 0.5756  -0.19
Se: 0.5756 0.1784 0.4278  -0.19
Se: 0.4278 0.5756 0.1784  -0.19
Se: 0.0532 0.9633 0.3179  -0.14
Se: 0.0367 0.6821 0.9468  -0.14
Se: 0.6821 0.9468 0.0367  -0.14
Se: 0.9468 0.0367 0.6821  -0.14
Se: 0.9633 0.3179 0.0532  -0.14
Se: 0.3179 0.0532 0.9633  -0.14



Number 1: calculated volume 15.3 Å³/atom. Number 2: calculated volume 14.1 Å³/atom. Number 3: calculated volume 18.5 Å³/atom. Number 4: calculated volume 17.1 Å³/atom. Number 5: calculated volume 23.3 Å³/atom. Number 6: calculated volume 22.7 Å³/atom. Number 7: calculated volume 19.9 Å³/atom. Number 8: calculated volume 27.2 Å³/atom.